1.
Computed, not measured: Li2Ag after structural relaxation at the GGA-PBE level of DFT.

Summary:
E = -28.44 eV per cell
Mass density = 3.947 Mg/m³
Calculated volume = 17.08 Å³ per atom

abc: 12.849 2.884 5.730
angles: 90.00 105.19 90.00
Space group C2/m (No. 12)
Inequivalent atoms, fractional coordinates:
Li1 0.005 0.000 0.237 x4
Li2 0.172 0.500 0.603 x4
Ag1 0.164 0.500 0.086 x4

2.
Computed, not measured: Li8Ag after structural relaxation at the GGA-PBE level of DFT.

Summary:
E = -37.51 eV per cell
Mass density = 1.634 Mg/m³
Calculated volume = 18.45 Å³ per atom

abc: 8.901 8.901 4.191
angles: 90.00 90.00 90.00
Space group I4/mmm (No. 139)
Inequivalent atoms, fractional coordinates:
Li1 0.000 0.325 0.000 x8
Li2 0.159 0.159 0.500 x8
Ag1 0.000 0.000 0.000 x2

3.
Computed, not measured: Li2Ag3 after structural relaxation at the GGA-PBE level of DFT.

Summary:
E = -38.71 eV per cell
Mass density = 6.652 Mg/m³
Calculated volume = 16.85 Å³ per atom

abc: 2.9739 2.9739 32.9949
angles: 90.00 90.00 120.00
Space group R-3m (No. 166, hexagonal axes)
Inequivalent atoms, fractional coordinates:
Li1 0.0000 0.0000 0.1011 x6
Ag1 0.0000 0.0000 0.2971 x6
Ag2 0.0000 0.0000 0.5000 x3

4.
Computed, not measured: Li2Ag after structural relaxation at the GGA-PBE level of DFT.

Summary:
E = -28.49 eV per cell
Mass density = 4.113 Mg/m³
Calculated volume = 16.38 Å³ per atom

abc: 17.659 2.910 3.826
angles: 90.00 90.26 90.00
Space group C2/m (No. 12)
Inequivalent atoms, fractional coordinates:
Li1 0.048 0.000 0.250 x4
Li2 0.206 0.000 0.250 x4
Ag1 0.125 0.500 0.750 x4

5.
Computed, not measured: Li2Ag after structural relaxation at the GGA-PBE level of DFT.

Summary:
E = -28.03 eV per cell
Mass density = 3.825 Mg/m³
Calculated volume = 17.62 Å³ per atom

abc: 2.913 15.137 4.795
angles: 90.00 90.00 90.00
Space group Cmcm (No. 63)
Inequivalent atoms, fractional coordinates:
Li1 0.000 0.057 0.250 x4
Li2 0.000 0.372 0.250 x4
Ag1 0.000 0.285 0.750 x4

6.
Computed, not measured: Li13Ag2 after structural relaxation at the GGA-PBE level of DFT.

Summary:
E = -31.60 eV per cell
Mass density = 1.854 Mg/m³
Calculated volume = 18.27 Å³ per atom

abc: 5.151 7.438 7.981
angles: 64.32 89.72 84.38
Space group P-1 (No. 2)
Inequivalent atoms, fractional coordinates:
Li1 0.000 0.000 0.000 x1
Li2 0.141 0.487 0.756 x2
Li3 0.211 0.198 0.191 x2
Li4 0.250 0.931 0.597 x2
Li5 0.317 0.652 0.020 x2
Li6 0.369 0.388 0.428 x2
Li7 0.452 0.131 0.800 x2
Ag1 0.088 0.757 0.375 x2

Per-record total moment, μB/f.u.: 0.00; 0.00; 0.00; 0.00; 0.00; 0.00
Per-record ΔE_f, eV per atom: -0.144; -0.066; -0.104; -0.148; -0.109; -0.068